Below is crystalline AlSbMo2 at its relaxed geometry, with properties calculated at the GGA-PBE level.

The structure belongs to space group R3m (No. 160, hexagonal axes); the cell edges are 3.1086, 3.1086 and 26.1933 Å and the angles 90.00°, 90.00° and 120.00°. The distinct sites, in fractional coordinates, are Al at (0.0000, 0.0000, 0.0000), Sb at (0.0000, 0.0000, 0.2360), Mo at (0.0000, 0.0000, 0.4847) and Mo at (0.0000, 0.0000, 0.7438).

Its crystal system is trigonal.

Below is crystalline La4OsPdI2 at its relaxed geometry, with properties calculated at the GGA-PBE level.

The structure belongs to space group P2/m (No. 10); the cell edges are 7.403, 4.286 and 8.626 Å and the angles 90.00°, 106.55° and 90.00°. The distinct sites, in fractional coordinates, are La at (0.217, 0.000, 0.189), La at (0.255, 0.500, 0.813), Os at (0.000, 0.500, 0.000), Pd at (0.500, 0.000, 0.000), I at (0.000, 0.000, 0.500) and I at (0.500, 0.500, 0.500).

Its crystal system is monoclinic.

Below is crystalline Ac3LaDy8 at its relaxed geometry, with properties calculated at the GGA-PBE level.

The structure belongs to space group Immm (No. 71); the cell edges are 6.503, 11.552 and 12.052 Å and the angles 90.00°, 90.00° and 90.00°. The distinct sites, in fractional coordinates, are Ac at (0.000, 0.000, 0.000), Ac at (0.000, 0.247, 0.500), La at (0.000, 0.500, 0.000), Dy at (0.000, 0.251, 0.180) and Dy at (0.249, 0.000, 0.256).

Its formation energy is 2.92 eV/f.u. Its crystal system is orthorhombic.

Below is crystalline Pr7CCl12 at its relaxed geometry, with properties calculated at the GGA-PBE level.

The structure belongs to space group R-3 (No. 148, hexagonal axes); the cell edges are 14.4714, 14.4714 and 9.9037 Å and the angles 90.00°, 90.00° and 120.00°. The distinct sites, in fractional coordinates, are Pr at (0.0000, 0.0000, 0.0000), Pr at (0.0423, 0.8786, 0.3494), C at (0.0000, 0.0000, 0.5000), Cl at (0.0247, 0.4398, 0.1627) and Cl at (0.0466, 0.8679, 0.8365).

Its crystal system is trigonal.

Below is crystalline Nd3Cu2Pd5 at its relaxed geometry, with properties calculated at the GGA-PBE level.

The structure belongs to space group P4/mbm (No. 127); the cell edges are 9.899, 9.899 and 4.000 Å and the angles 90.00°, 90.00° and 90.00°. The distinct sites, in fractional coordinates, are Nd at (0.000, 0.000, 0.000), Nd at (0.175, 0.325, 0.000), Cu at (0.118, 0.618, 0.000), Pd at (0.000, 0.500, 0.500) and Pd at (0.070, 0.782, 0.500).

Its formation energy is -6.31 eV/f.u. Its crystal system is tetragonal.

Below is crystalline Eu2SnP at its relaxed geometry, with properties calculated at the GGA-PBE level.

The structure belongs to space group R-3m (No. 166, hexagonal axes); the cell edges are 4.0806, 4.0806 and 29.6006 Å and the angles 90.00°, 90.00° and 120.00°. The distinct sites, in fractional coordinates, are Eu at (0.0000, 0.0000, 0.1116), Sn at (0.0000, 0.0000, 0.0000) and P at (0.0000, 0.0000, 0.5000).

Its formation energy is -2.17 eV/f.u. Its crystal system is trigonal.

Below is crystalline AlFe2Mo at its relaxed geometry, with properties calculated at the GGA-PBE level.

The structure belongs to space group I-42d (No. 122); the cell edges are 6.693, 6.693 and 5.156 Å and the angles 90.00°, 90.00° and 90.00°. The distinct sites, in fractional coordinates, are Al at (0.000, 0.000, 0.000), Fe at (0.245, 0.250, 0.625) and Mo at (0.000, 0.000, 0.500).

Its formation energy is 2.13 eV/f.u. Its crystal system is tetragonal.

Below is crystalline SrMoBr6 at its relaxed geometry, with properties calculated at the GGA-PBE level.

The structure belongs to space group R-3 (No. 148, hexagonal axes); the cell edges are 6.9619, 6.9619 and 18.9581 Å and the angles 90.00°, 90.00° and 120.00°. The distinct sites, in fractional coordinates, are Sr at (0.0000, 0.0000, 0.0000), Mo at (0.0000, 0.0000, 0.5000) and Br at (0.0165, 0.6349, 0.0898).

Its crystal system is trigonal.

| no. | mass density (g/cm³) | total energy (eV per atom) |
| --- | --- | --- |
| 1 | 7.74 | -7.2118 |
| 2 | 7.00 | -5.7892 |
| 3 | 7.78 | -4.2627 |
| 4 | 3.95 | -5.1464 |
| 5 | 9.25 | -5.4769 |
| 6 | 5.29 | -8.0333 |
| 7 | 6.75 | -7.3410 |
| 8 | 4.15 | -3.8584 |